Below is a geometry-optimized MnCr2SeO8 structure, with properties calculated at the PBE with a Hubbard U level.

## Properties
Space group ... Cmmm, No. 65
Total magnetic moment ... 9.000 μB per cell
Density of states at the Fermi level ... 3.6 states/eV per cell
E ... -6.73 eV per atom

Cell lengths 4.5148, 4.5111, 5.9997 Å; angles 90.00, 90.00, 91.71 degrees
Positions (direct):
Cr  0.5000  0.5000  0.2504
O  0.7088  0.7102  0.0000
O  0.1856  0.8131  0.2318
O  0.8144  0.1869  0.7682
O  0.6974  0.6985  0.5000
Cr  0.5000  0.5000  0.7496
O  0.3026  0.3015  0.5000
O  0.8144  0.1869  0.2318
Se  0.0000  0.0000  0.0000
O  0.1856  0.8131  0.7682
Mn  0.0000  0.0000  0.5000
O  0.2912  0.2898  0.0000